A relaxed structure of Rb3PmSb2Te6, computed with PBE-GGA.

Output
The calculation puts the formation energy without anion corrections at -938 kJ/mol of formula units. As for the space group: C2/m (12). Its calculated volume is 467 Å³/cell. The density comes out at 5.01 Mg/m³.

Geometry as POSCAR:
```
Rb3PmSb2Te6
1.0
7.9456 -0.0015 0.0000
-3.9721 6.8815 0.0000
-1.3252 -2.2946 8.5457
Te Sb Rb Pm
6 2 3 1
direct
0.4059 0.0662 0.1983
0.0662 0.4059 0.1983
0.5941 0.9338 0.8017
0.9338 0.5941 0.8017
0.2736 0.2736 0.8019
0.7264 0.7264 0.1981
0.3332 0.6668 0.0000
0.6668 0.3332 0.0000
0.1657 0.8343 0.5000
0.5000 0.5000 0.5000
0.8343 0.1657 0.5000
0.0000 0.0000 0.0000
```

A relaxed structure of Th4Bi2SbC, computed with PBE-GGA.

Output
The calculation puts the formation energy without anion corrections at -393 kJ/mol of formula units. As for the space group: P2/m (10). Its calculated volume is 240 Å³/cell. The density comes out at 10.26 Mg/m³.

Geometry as POSCAR:
```
Th4Bi2SbC
1.0
-0.3207 -3.4146 -2.2799
-1.1084 -4.1718 6.4041
-7.1078 2.2979 -2.4417
C Th Bi Sb
1 4 2 1
direct
0.5000 0.5000 0.0000
0.0000 0.3051 0.8092
0.5000 0.7188 0.7904
0.5000 0.2812 0.2096
0.0000 0.6949 0.1908
0.5000 0.0000 0.5000
0.0000 0.5000 0.5000
0.0000 0.0000 0.0000
```

A relaxed structure of Ca3Ge4Au7, computed with PBE-GGA.

Output
As for the space group: Imm2 (44). Its calculated volume is 289 Å³/cell. Its formation energy is -7.04 eV per formula unit. The density comes out at 10.27 Mg/m³. For the polymorph energy (0 for the lowest one), the calculation gives 2 meV per atom.

Geometry as POSCAR:
```
Ca3Ge4Au7
1.0
-2.2157 4.9277 6.6269
2.2157 -4.9277 6.6269
2.2157 4.9277 -6.6269
Au Ca Ge
7 3 4
direct
0.6999 0.5000 0.1999
0.3073 0.5000 0.8073
0.9547 0.3394 0.6153
0.6061 0.8649 0.7412
0.5024 0.0000 0.5024
0.2759 0.6606 0.6153
0.8763 0.1351 0.7412
0.3165 0.3131 0.0034
0.6903 0.6869 0.0034
0.9976 0.0000 0.9976
0.1444 0.8713 0.2731
0.6743 0.3168 0.3575
0.0406 0.6832 0.3575
0.4019 0.1287 0.2731
```

A relaxed structure of InIrW2, computed with PBE-GGA.

Output
As for the space group: C2/m (12). Its calculated volume is 67 Å³/cell. Its formation energy is 0.97 eV per formula unit. The density comes out at 16.77 Mg/m³.

Geometry as POSCAR:
```
InIrW2
1.0
5.1299 0.0058 -0.0070
4.2781 2.8309 -0.0070
0.9641 0.2907 4.6069
W In Ir
2 1 1
direct
0.4904 0.4904 0.5167
0.0096 0.0096 0.9833
0.2500 0.2500 0.2500
0.7500 0.7500 0.7500
```